Below is crystalline CePr12Ho2 at its relaxed geometry, with properties calculated at the PBE level.

The structure in POSCAR format:
```
CePr12Ho2
1.0
6.705 -1.588 0.000
-1.588 6.705 0.000
0.000 0.000 25.208
Ce Pr Ho
2 24 4
direct
0.500 0.000 0.999
0.000 0.500 0.001
0.500 0.500 0.802
0.000 0.000 0.802
0.754 0.746 0.928
0.252 0.752 0.871
0.000 0.000 0.324
0.248 0.748 0.129
0.769 0.269 0.586
0.500 0.500 0.324
0.246 0.254 0.928
0.746 0.754 0.072
0.274 0.226 0.560
0.731 0.231 0.414
0.000 0.000 0.676
0.226 0.274 0.440
0.254 0.246 0.072
0.774 0.726 0.440
0.726 0.774 0.560
0.000 0.000 0.198
0.231 0.731 0.586
0.500 0.500 0.676
0.748 0.248 0.871
0.500 0.500 0.198
0.269 0.769 0.414
0.752 0.252 0.129
0.500 0.000 0.266
0.000 0.500 0.270
0.000 0.500 0.734
0.500 0.000 0.730
```

Values from the calculation:
As for the crystal system: orthorhombic. The magnetization comes out at 1.533 μB per formula unit. For the calculated formation energy, the calculation gives 0.169 eV per atom. The space group is Cmme, No. 67.